i.
Entry from the Open Quantum Materials Database: an optimized crystal structure of LaBeAu (PBE-GGA).

Cell lengths 6.736, 6.736, 6.736 Å; angles 90.00, 90.00, 90.00 degrees
Space group F-43m (No. 216)
Inequivalent atoms, fractional coordinates:
La 0.000 0.000 0.000 (multiplicity 4)
Be 0.000 0.000 0.500 (multiplicity 4)
Au 0.250 0.250 0.750 (multiplicity 4)


ii.
Entry from the Open Quantum Materials Database: an optimized crystal structure of LaBeAu (PBE-GGA).

Cell lengths 6.910, 6.910, 6.910 Å; angles 90.00, 90.00, 90.00 degrees
Space group F-43m (No. 216)
Inequivalent atoms, fractional coordinates:
La 0.000 0.000 0.000 (multiplicity 4)
Be 0.250 0.250 0.250 (multiplicity 4)
Au 0.250 0.250 0.750 (multiplicity 4)


iii.
Entry from the Open Quantum Materials Database: an optimized crystal structure of LaBeAu (PBE-GGA).

Cell lengths 6.491, 6.491, 6.491 Å; angles 90.00, 90.00, 90.00 degrees
Space group F-43m (No. 216)
Inequivalent atoms, fractional coordinates:
La 0.000 0.000 0.000 (multiplicity 4)
Be 0.250 0.250 0.750 (multiplicity 4)
Au 0.000 0.000 0.500 (multiplicity 4)


Energies relative to the minimum, kJ/mol of atoms: i 5.5; ii 42.2; iii 0.0


i.
Entry from the Open Quantum Materials Database: an optimized crystal structure of YMgBeAu (PBE-GGA).

Cell lengths 6.583, 6.583, 6.583 Å; angles 90.00, 90.00, 90.00 degrees
Space group F-43m (No. 216)
Inequivalent atoms, fractional coordinates:
Y 0.000 0.000 0.000 (multiplicity 4)
Mg 0.250 0.250 0.750 (multiplicity 4)
Be 0.250 0.250 0.250 (multiplicity 4)
Au 0.000 0.000 0.500 (multiplicity 4)


ii.
Entry from the Open Quantum Materials Database: an optimized crystal structure of YMgBeAu (PBE-GGA).

Cell lengths 6.751, 6.751, 6.751 Å; angles 90.00, 90.00, 90.00 degrees
Space group F-43m (No. 216)
Inequivalent atoms, fractional coordinates:
Y 0.000 0.000 0.000 (multiplicity 4)
Mg 0.000 0.000 0.500 (multiplicity 4)
Be 0.250 0.250 0.750 (multiplicity 4)
Au 0.250 0.250 0.250 (multiplicity 4)


iii.
Entry from the Open Quantum Materials Database: an optimized crystal structure of YMgBeAu (PBE-GGA).

Cell lengths 6.681, 6.681, 6.681 Å; angles 90.00, 90.00, 90.00 degrees
Space group F-43m (No. 216)
Inequivalent atoms, fractional coordinates:
Y 0.000 0.000 0.000 (multiplicity 4)
Mg 0.250 0.250 0.750 (multiplicity 4)
Be 0.000 0.000 0.500 (multiplicity 4)
Au 0.250 0.250 0.250 (multiplicity 4)


Energies relative to the minimum, kJ/mol of atoms: i 11.1; ii 0.0; iii 14.2


i.
Entry from the Open Quantum Materials Database: an optimized crystal structure of BeAuNO (PBE-GGA).

Cell lengths 2.773, 5.665, 5.552 Å; angles 90.00, 90.00, 90.00 degrees
Space group Pmc2_1 (No. 26)
Inequivalent atoms, fractional coordinates:
Be 0.000 0.126 0.000 (multiplicity 2)
Au 0.500 0.382 0.402 (multiplicity 2)
N 0.000 0.124 0.327 (multiplicity 2)
O 0.500 0.248 0.920 (multiplicity 2)


ii.
Entry from the Open Quantum Materials Database: an optimized crystal structure of BeAuNO (PBE-GGA).

Cell lengths 3.289, 3.289, 8.496 Å; angles 90.00, 90.00, 90.00 degrees
Space group P4/nmm (No. 129, origin choice 2)
Inequivalent atoms, fractional coordinates:
Be 0.250 0.750 0.000 (multiplicity 2)
Au 0.250 0.250 0.313 (multiplicity 2)
N 0.250 0.250 0.075 (multiplicity 2)
O 0.250 0.750 0.500 (multiplicity 2)


Energies relative to the minimum, kJ/mol of atoms: i 0.0; ii 56.1


i.
Entry from the Open Quantum Materials Database: an optimized crystal structure of BeAuNO (PBE-GGA).

Cell lengths 3.724, 3.724, 6.382 Å; angles 90.00, 90.00, 90.00 degrees
Space group P4/nmm (No. 129, origin choice 2)
Inequivalent atoms, fractional coordinates:
Be 0.250 0.250 0.039 (multiplicity 2)
Au 0.250 0.750 0.500 (multiplicity 2)
N 0.250 0.250 0.306 (multiplicity 2)
O 0.250 0.750 0.000 (multiplicity 2)


ii.
Entry from the Open Quantum Materials Database: an optimized crystal structure of BeAuNO (PBE-GGA).

Cell lengths 5.311, 6.867, 4.812 Å; angles 90.00, 90.00, 90.00 degrees
Space group Pca2_1 (No. 29)
Inequivalent atoms, fractional coordinates:
Be 0.102 0.057 0.000 (multiplicity 4)
Au 0.071 0.573 0.950 (multiplicity 4)
N 0.082 0.705 0.570 (multiplicity 4)
O 0.128 0.054 0.662 (multiplicity 4)


iii.
Entry from the Open Quantum Materials Database: an optimized crystal structure of BeAuNO (PBE-GGA).

Cell lengths 3.028, 5.851, 4.751 Å; angles 90.00, 90.00, 90.00 degrees
Space group Pmc2_1 (No. 26)
Inequivalent atoms, fractional coordinates:
Be 0.000 0.127 0.000 (multiplicity 2)
Au 0.500 0.389 0.504 (multiplicity 2)
N 0.500 0.262 0.908 (multiplicity 2)
O 0.000 0.110 0.337 (multiplicity 2)


Energies relative to the minimum, kJ/mol of atoms: i 43.8; ii 0.0; iii 3.8


i.
Entry from the Open Quantum Materials Database: an optimized crystal structure of BeNbAu (PBE-GGA).

Cell lengths 6.050, 6.050, 6.050 Å; angles 90.00, 90.00, 90.00 degrees
Space group F-43m (No. 216)
Inequivalent atoms, fractional coordinates:
Be 0.000 0.000 0.000 (multiplicity 4)
Nb 0.250 0.250 0.750 (multiplicity 4)
Au 0.000 0.000 0.500 (multiplicity 4)


ii.
Entry from the Open Quantum Materials Database: an optimized crystal structure of BeNbAu (PBE-GGA).

Cell lengths 5.757, 5.757, 5.757 Å; angles 90.00, 90.00, 90.00 degrees
Space group F-43m (No. 216)
Inequivalent atoms, fractional coordinates:
Be 0.000 0.000 0.000 (multiplicity 4)
Nb 0.250 0.250 0.250 (multiplicity 4)
Au 0.250 0.250 0.750 (multiplicity 4)


Energies relative to the minimum, kJ/mol of atoms: i 44.4; ii 0.0


i.
Entry from the Open Quantum Materials Database: an optimized crystal structure of BeNbPdAu (PBE-GGA).

Cell lengths 6.288, 6.288, 6.288 Å; angles 90.00, 90.00, 90.00 degrees
Space group F-43m (No. 216)
Inequivalent atoms, fractional coordinates:
Be 0.000 0.000 0.000 (multiplicity 4)
Nb 0.000 0.000 0.500 (multiplicity 4)
Pd 0.250 0.250 0.750 (multiplicity 4)
Au 0.250 0.250 0.250 (multiplicity 4)


ii.
Entry from the Open Quantum Materials Database: an optimized crystal structure of BeNbPdAu (PBE-GGA).

Cell lengths 6.242, 6.242, 6.242 Å; angles 90.00, 90.00, 90.00 degrees
Space group F-43m (No. 216)
Inequivalent atoms, fractional coordinates:
Be 0.000 0.000 0.000 (multiplicity 4)
Nb 0.250 0.250 0.750 (multiplicity 4)
Pd 0.250 0.250 0.250 (multiplicity 4)
Au 0.000 0.000 0.500 (multiplicity 4)


Energies relative to the minimum, kJ/mol of atoms: i 0.0; ii 1.0


i.
Entry from the Open Quantum Materials Database: an optimized crystal structure of BeNiAu (PBE-GGA).

Cell lengths 5.387, 5.387, 5.387 Å; angles 90.00, 90.00, 90.00 degrees
Space group F-43m (No. 216)
Inequivalent atoms, fractional coordinates:
Be 0.000 0.000 0.000 (multiplicity 4)
Ni 0.250 0.250 0.250 (multiplicity 4)
Au 0.250 0.250 0.750 (multiplicity 4)


ii.
Entry from the Open Quantum Materials Database: an optimized crystal structure of BeNiAu (PBE-GGA).

Cell lengths 2.802, 2.802, 9.247 Å; angles 90.00, 90.00, 90.00 degrees
Space group P4/nmm (No. 129, origin choice 2)
Inequivalent atoms, fractional coordinates:
Be 0.250 0.250 0.197 (multiplicity 2)
Ni 0.250 0.250 0.920 (multiplicity 2)
Au 0.250 0.250 0.627 (multiplicity 2)


iii.
Entry from the Open Quantum Materials Database: an optimized crystal structure of BeNiAu (PBE-GGA).

Cell lengths 2.787, 2.787, 9.272 Å; angles 90.00, 90.00, 90.00 degrees
Space group I4mm (No. 107)
Inequivalent atoms, fractional coordinates:
Be 0.000 0.000 0.000 (multiplicity 2)
Ni 0.000 0.000 0.621 (multiplicity 2)
Au 0.000 0.000 0.327 (multiplicity 2)


iv.
Entry from the Open Quantum Materials Database: an optimized crystal structure of BeNiAu (PBE-GGA).

Cell lengths 2.784, 2.784, 9.368 Å; angles 90.00, 90.00, 90.00 degrees
Space group P4/mmm (No. 123)
Inequivalent atoms, fractional coordinates:
Be 0.000 0.000 0.000 (multiplicity 1)
Be 0.500 0.500 0.500 (multiplicity 1)
Ni 0.000 0.000 0.370 (multiplicity 2)
Au 0.500 0.500 0.165 (multiplicity 2)


Energies relative to the minimum, kJ/mol of atoms: i 8.3; ii 0.0; iii 2.8; iv 4.0


i.
Entry from the Open Quantum Materials Database: an optimized crystal structure of BeTcOsAu (PBE-GGA).

Cell lengths 6.115, 6.115, 6.115 Å; angles 90.00, 90.00, 90.00 degrees
Space group F-43m (No. 216)
Inequivalent atoms, fractional coordinates:
Be 0.000 0.000 0.000 (multiplicity 4)
Tc 0.000 0.000 0.500 (multiplicity 4)
Os 0.250 0.250 0.750 (multiplicity 4)
Au 0.250 0.250 0.250 (multiplicity 4)


ii.
Entry from the Open Quantum Materials Database: an optimized crystal structure of BeTcOsAu (PBE-GGA).

Cell lengths 6.080, 6.080, 6.080 Å; angles 90.00, 90.00, 90.00 degrees
Space group F-43m (No. 216)
Inequivalent atoms, fractional coordinates:
Be 0.000 0.000 0.000 (multiplicity 4)
Tc 0.250 0.250 0.250 (multiplicity 4)
Os 0.250 0.250 0.750 (multiplicity 4)
Au 0.000 0.000 0.500 (multiplicity 4)


Energies relative to the minimum, kJ/mol of atoms: i 0.0; ii 11.3